# Ce2CrReN6 | Alexandria via LeMat-Bulk | PBE | relaxed
# Final energy in eV per atom: -9.19
# Calculated volume in Å³/atom: 11.56
data_Ce2CrReN6
_chemical_formula_sum 'Ce4 Cr2 Re2 N12'
_cell_length_a 5.424
_cell_length_b 5.537
_cell_length_c 9.412
_cell_angle_alpha 90.00
_cell_angle_beta 125.15
_cell_angle_gamma 90.00
_symmetry_space_group_name_H-M 'P 1 21/c 1'
_symmetry_Int_Tables_number 14
loop_
_symmetry_equiv_pos_as_xyz
'x,y,z'
'-x,-y,-z'
'-x,y+1/2,-z+1/2'
'x,-y+1/2,z+1/2'
loop_
_atom_site_label
_atom_site_type_symbol
_atom_site_fract_x
_atom_site_fract_y
_atom_site_fract_z
Ce1 Ce 0.247 0.049 0.251
Cr1 Cr 0.500 0.000 0.000
Re1 Re 0.000 0.000 0.500
N1 N 0.162 0.200 0.961
N2 N 0.266 0.702 0.963
N3 N 0.324 0.016 0.753

=====

# Tb3O | Alexandria via LeMat-Bulk | PBE | relaxed
# Final energy in eV per atom: -5.85
# Calculated volume in Å³/atom: 25.94
data_Tb3O
_chemical_formula_sum 'Tb3 O1'
_cell_length_a 3.311
_cell_length_b 3.311
_cell_length_c 9.467
_cell_angle_alpha 90.00
_cell_angle_beta 90.00
_cell_angle_gamma 90.00
_symmetry_space_group_name_H-M 'P m m 2'
_symmetry_Int_Tables_number 25
loop_
_symmetry_equiv_pos_as_xyz
'x,y,z'
'-x,-y,z'
'-x,y,z'
'x,-y,z'
loop_
_atom_site_label
_atom_site_type_symbol
_atom_site_fract_x
_atom_site_fract_y
_atom_site_fract_z
Tb1 Tb 0.000 0.000 0.000
Tb2 Tb 0.000 0.500 0.365
Tb3 Tb 0.500 0.500 0.730
O1 O 0.500 0.000 0.364

=====

# ScAl2W | Alexandria via LeMat-Bulk | PBE | relaxed
# Calculated formation energy in eV/atom: -0.20
# Final energy in eV per atom: -6.90
# E above lowest polymorph in eV/atom: 0.000
# Calculated volume in Å³/atom: 16.74
data_ScAl2W
_chemical_formula_sum 'Sc2 Al4 W2'
_cell_length_a 4.091
_cell_length_b 4.091
_cell_length_c 7.999
_cell_angle_alpha 90.00
_cell_angle_beta 90.00
_cell_angle_gamma 90.00
_symmetry_space_group_name_H-M 'I 4/m m m'
_symmetry_Int_Tables_number 139
_symmetry_space_group_name_Hall '-I 4 2'
loop_
_atom_site_label
_atom_site_type_symbol
_atom_site_fract_x
_atom_site_fract_y
_atom_site_fract_z
Sc1 Sc 0.000 0.000 0.000
Al1 Al 0.000 0.500 0.250
W1 W 0.000 0.000 0.500

=====

# Sm12Dy7Mg | Alexandria via LeMat-Bulk | PBE | relaxed
# Calculated formation energy in eV/atom: 0.15
# Final energy in eV per atom: -4.37
# E above lowest polymorph in eV/atom: 0.000
# Calculated volume in Å³/atom: 33.05
data_Sm12Dy7Mg
_chemical_formula_sum 'Sm36 Dy21 Mg3'
_cell_length_a 15.0205
_cell_length_b 15.0205
_cell_length_c 10.1493
_cell_angle_alpha 90.00
_cell_angle_beta 90.00
_cell_angle_gamma 120.00
_symmetry_space_group_name_H-M 'R -3'
_symmetry_Int_Tables_number 148
_symmetry_space_group_name_Hall '-R 3'
loop_
_atom_site_label
_atom_site_type_symbol
_atom_site_fract_x
_atom_site_fract_y
_atom_site_fract_z
Sm1 Sm 0.0438 0.8500 0.2508
Sm2 Sm 0.0451 0.7953 0.5742
Dy1 Dy 0.0000 0.0000 0.5000
Dy2 Dy 0.0656 0.8232 0.9260
Mg1 Mg 0.0000 0.0000 0.0000

=====

# Sc2CrBSe | Alexandria via LeMat-Bulk | PBE | relaxed
# Final energy in eV per atom: -5.86
# Calculated volume in Å³/atom: 20.81
data_Sc2CrBSe
_chemical_formula_sum 'Sc2 Cr1 B1 Se1'
_cell_length_a 5.043
_cell_length_b 5.043
_cell_length_c 4.092
_cell_angle_alpha 90.00
_cell_angle_beta 90.00
_cell_angle_gamma 90.00
_symmetry_space_group_name_H-M 'P 4/m m m'
_symmetry_Int_Tables_number 123
_symmetry_space_group_name_Hall '-P 4 2'
loop_
_atom_site_label
_atom_site_type_symbol
_atom_site_fract_x
_atom_site_fract_y
_atom_site_fract_z
Sc1 Sc 0.000 0.500 0.000
Cr1 Cr 0.000 0.000 0.500
B1 B 0.500 0.500 0.500
Se1 Se 0.500 0.500 0.000

=====

# Cs2ZnH4 | Alexandria via LeMat-Bulk | PBE | relaxed
# Final energy in eV per atom: -2.59
# Calculated volume in Å³/atom: 24.59
data_Cs2ZnH4
_chemical_formula_sum 'Cs4 Zn2 H8'
_cell_length_a 6.403
_cell_length_b 6.199
_cell_length_c 8.885
_cell_angle_alpha 90.00
_cell_angle_beta 102.51
_cell_angle_gamma 90.00
_symmetry_space_group_name_H-M 'P 1 21/m 1'
_symmetry_Int_Tables_number 11
loop_
_symmetry_equiv_pos_as_xyz
'x,y,z'
'-x,-y,-z'
'-x,y+1/2,-z'
'x,-y+1/2,z'
loop_
_atom_site_label
_atom_site_type_symbol
_atom_site_fract_x
_atom_site_fract_y
_atom_site_fract_z
Cs1 Cs 0.224 0.250 0.028
Cs2 Cs 0.273 0.250 0.546
Zn1 Zn 0.196 0.750 0.773
H1 H 0.036 0.535 0.731
H2 H 0.297 0.750 0.962
H3 H 0.387 0.750 0.670

=====

# Pr7RuCl12 | Alexandria via LeMat-Bulk | PBE | relaxed
# Final energy in eV per atom: -5.12
# Calculated volume in Å³/atom: 34.50
data_Pr7RuCl12
_chemical_formula_sum 'Pr21 Ru3 Cl36'
_cell_length_a 14.9944
_cell_length_b 14.9944
_cell_length_c 10.6299
_cell_angle_alpha 90.00
_cell_angle_beta 90.00
_cell_angle_gamma 120.00
_symmetry_space_group_name_H-M 'R -3'
_symmetry_Int_Tables_number 148
_symmetry_space_group_name_Hall '-R 3'
loop_
_atom_site_label
_atom_site_type_symbol
_atom_site_fract_x
_atom_site_fract_y
_atom_site_fract_z
Pr1 Pr 0.0000 0.0000 0.0000
Pr2 Pr 0.0353 0.1686 0.3540
Ru1 Ru 0.0000 0.0000 0.5000
Cl1 Cl 0.0246 0.5752 0.1571
Cl2 Cl 0.0366 0.1587 0.8345

=====

# NpPaGeMo | Alexandria via LeMat-Bulk | PBE | relaxed
# Calculated formation energy in eV/atom: 0.10
# Final energy in eV per atom: -9.37
# Calculated volume in Å³/atom: 19.52
data_NpPaGeMo
_chemical_formula_sum 'Np4 Pa4 Ge4 Mo4'
_cell_length_a 6.784
_cell_length_b 6.784
_cell_length_c 6.784
_cell_angle_alpha 90.00
_cell_angle_beta 90.00
_cell_angle_gamma 90.00
_symmetry_space_group_name_H-M 'F -4 3 m'
_symmetry_Int_Tables_number 216
_symmetry_space_group_name_Hall 'F -4 2 3'
loop_
_atom_site_label
_atom_site_type_symbol
_atom_site_fract_x
_atom_site_fract_y
_atom_site_fract_z
Np1 Np 0.000 0.000 0.000
Pa1 Pa 0.250 0.250 0.750
Ge1 Ge 0.000 0.000 0.500
Mo1 Mo 0.250 0.250 0.250

=====

# ZrCuTeI2 | Alexandria via LeMat-Bulk | PBE | relaxed
# Final energy in eV per atom: -3.37
# E above lowest polymorph in eV/atom: 0.288
# Calculated volume in Å³/atom: 29.00
data_ZrCuTeI2
_chemical_formula_sum 'Zr1 Cu1 Te1 I2'
_cell_length_a 5.235
_cell_length_b 5.235
_cell_length_c 5.290
_cell_angle_alpha 90.00
_cell_angle_beta 90.00
_cell_angle_gamma 90.00
_symmetry_space_group_name_H-M 'P 4/m m m'
_symmetry_Int_Tables_number 123
_symmetry_space_group_name_Hall '-P 4 2'
loop_
_atom_site_label
_atom_site_type_symbol
_atom_site_fract_x
_atom_site_fract_y
_atom_site_fract_z
Zr1 Zr 0.000 0.000 0.000
Cu1 Cu 0.500 0.500 0.500
Te1 Te 0.500 0.500 0.000
I1 I 0.000 0.500 0.500

=====

# PmNpSnPb | Alexandria via LeMat-Bulk | PBE | relaxed
# Calculated formation energy in eV/atom: -0.10
# Final energy in eV per atom: -6.45
# Calculated volume in Å³/atom: 28.37
data_PmNpSnPb
_chemical_formula_sum 'Pm4 Np4 Sn4 Pb4'
_cell_length_a 7.685
_cell_length_b 7.685
_cell_length_c 7.685
_cell_angle_alpha 90.00
_cell_angle_beta 90.00
_cell_angle_gamma 90.00
_symmetry_space_group_name_H-M 'F -4 3 m'
_symmetry_Int_Tables_number 216
_symmetry_space_group_name_Hall 'F -4 2 3'
loop_
_atom_site_label
_atom_site_type_symbol
_atom_site_fract_x
_atom_site_fract_y
_atom_site_fract_z
Pm1 Pm 0.000 0.000 0.000
Np1 Np 0.000 0.000 0.500
Sn1 Sn 0.250 0.250 0.750
Pb1 Pb 0.250 0.250 0.250

=====

# SiHg2Rh | Alexandria via LeMat-Bulk | PBE | relaxed
# Final energy in eV per atom: -2.91
# Calculated volume in Å³/atom: 19.51
data_SiHg2Rh
_chemical_formula_sum 'Si4 Hg8 Rh4'
_cell_length_a 7.655
_cell_length_b 7.655
_cell_length_c 5.327
_cell_angle_alpha 90.00
_cell_angle_beta 90.00
_cell_angle_gamma 90.00
_symmetry_space_group_name_H-M 'I -4 2 d'
_symmetry_Int_Tables_number 122
_symmetry_space_group_name_Hall 'I -4 2bw'
loop_
_atom_site_label
_atom_site_type_symbol
_atom_site_fract_x
_atom_site_fract_y
_atom_site_fract_z
Si1 Si 0.000 0.000 0.000
Hg1 Hg 0.236 0.750 0.125
Rh1 Rh 0.000 0.000 0.500

=====

# In2PbBr | Alexandria via LeMat-Bulk | PBE | relaxed
# Final energy in eV per atom: -2.80
# E above lowest polymorph in eV/atom: 0.133
# Calculated volume in Å³/atom: 29.25
data_In2PbBr
_chemical_formula_sum 'In8 Pb4 Br4'
_cell_length_a 7.764
_cell_length_b 7.764
_cell_length_c 7.764
_cell_angle_alpha 90.00
_cell_angle_beta 90.00
_cell_angle_gamma 90.00
_symmetry_space_group_name_H-M 'F m -3 m'
_symmetry_Int_Tables_number 225
_symmetry_space_group_name_Hall '-F 4 2 3'
loop_
_atom_site_label
_atom_site_type_symbol
_atom_site_fract_x
_atom_site_fract_y
_atom_site_fract_z
In1 In 0.250 0.250 0.250
Pb1 Pb 0.000 0.000 0.000
Br1 Br 0.000 0.000 0.500

=====

# In3GaS6 | Alexandria via LeMat-Bulk | PBE | relaxed
# Final energy in eV per atom: -4.07
# Calculated volume in Å³/atom: 22.98
data_In3GaS6
_chemical_formula_sum 'In12 Ga4 S24'
_cell_length_a 10.329
_cell_length_b 13.929
_cell_length_c 6.388
_cell_angle_alpha 90.00
_cell_angle_beta 90.00
_cell_angle_gamma 90.00
_symmetry_space_group_name_H-M 'C m c 21'
_symmetry_Int_Tables_number 36
loop_
_symmetry_equiv_pos_as_xyz
'x,y,z'
'-x,-y,z+1/2'
'-x,y,z'
'x,-y,z+1/2'
'x+1/2,y+1/2,z'
'-x+1/2,-y+1/2,z+1/2'
'-x+1/2,y+1/2,z'
'x+1/2,-y+1/2,z+1/2'
loop_
_atom_site_label
_atom_site_type_symbol
_atom_site_fract_x
_atom_site_fract_y
_atom_site_fract_z
In1 In 0.000 0.084 0.000
In2 In 0.194 0.394 0.131
Ga1 Ga 0.000 0.301 0.691
S1 S 0.000 0.309 0.340
S2 S 0.000 0.441 0.892
S3 S 0.164 0.218 0.856
S4 S 0.169 0.037 0.303

=====

# Ba2NaAgPt | Alexandria via LeMat-Bulk | PBE | relaxed
# Calculated formation energy in eV/atom: -0.24
# Final energy in eV per atom: -3.05
# E above lowest polymorph in eV/atom: 0.019
# Calculated volume in Å³/atom: 40.33
data_Ba2NaAgPt
_chemical_formula_sum 'Ba2 Na1 Ag1 Pt1'
_cell_length_a 6.091
_cell_length_b 6.091
_cell_length_c 5.436
_cell_angle_alpha 90.00
_cell_angle_beta 90.00
_cell_angle_gamma 90.00
_symmetry_space_group_name_H-M 'P 4/m m m'
_symmetry_Int_Tables_number 123
_symmetry_space_group_name_Hall '-P 4 2'
loop_
_atom_site_label
_atom_site_type_symbol
_atom_site_fract_x
_atom_site_fract_y
_atom_site_fract_z
Ba1 Ba 0.000 0.500 0.000
Na1 Na 0.000 0.000 0.500
Ag1 Ag 0.500 0.500 0.500
Pt1 Pt 0.000 0.000 0.000

=====

# La2SiAs | Alexandria via LeMat-Bulk | PBE | relaxed
# Final energy in eV per atom: -5.81
# E above lowest polymorph in eV/atom: 0.305
# Calculated volume in Å³/atom: 25.32
data_La2SiAs
_chemical_formula_sum 'La4 Si2 As2'
_cell_length_a 6.593
_cell_length_b 7.935
_cell_length_c 3.872
_cell_angle_alpha 90.00
_cell_angle_beta 90.00
_cell_angle_gamma 90.00
_symmetry_space_group_name_H-M 'C m m m'
_symmetry_Int_Tables_number 65
_symmetry_space_group_name_Hall '-C 2 2'
loop_
_atom_site_label
_atom_site_type_symbol
_atom_site_fract_x
_atom_site_fract_y
_atom_site_fract_z
La1 La 0.250 0.250 0.000
Si1 Si 0.000 0.000 0.500
As1 As 0.000 0.500 0.500

=====

# V2H2Au | Alexandria via LeMat-Bulk | PBE | relaxed
# Final energy in eV per atom: -5.19
# E above lowest polymorph in eV/atom: 0.545
# Calculated volume in Å³/atom: 11.69
data_V2H2Au
_chemical_formula_sum 'V4 H4 Au2'
_cell_length_a 6.746
_cell_length_b 6.746
_cell_length_c 2.569
_cell_angle_alpha 90.00
_cell_angle_beta 90.00
_cell_angle_gamma 90.00
_symmetry_space_group_name_H-M 'P 4/m b m'
_symmetry_Int_Tables_number 127
_symmetry_space_group_name_Hall '-P 4 2ab'
loop_
_atom_site_label
_atom_site_type_symbol
_atom_site_fract_x
_atom_site_fract_y
_atom_site_fract_z
V1 V 0.121 0.379 0.000
H1 H 0.100 0.600 0.500
Au1 Au 0.000 0.000 0.000

=====

# CuSbRh2 | Alexandria via LeMat-Bulk | PBE | relaxed
# Final energy in eV per atom: -5.75
# E above lowest polymorph in eV/atom: 0.285
# Calculated volume in Å³/atom: 15.46
data_CuSbRh2
_chemical_formula_sum 'Cu4 Sb4 Rh8'
_cell_length_a 6.277
_cell_length_b 6.277
_cell_length_c 6.277
_cell_angle_alpha 90.00
_cell_angle_beta 90.00
_cell_angle_gamma 90.00
_symmetry_space_group_name_H-M 'F -4 3 m'
_symmetry_Int_Tables_number 216
_symmetry_space_group_name_Hall 'F -4 2 3'
loop_
_atom_site_label
_atom_site_type_symbol
_atom_site_fract_x
_atom_site_fract_y
_atom_site_fract_z
Cu1 Cu 0.000 0.000 0.000
Sb1 Sb 0.250 0.250 0.250
Rh1 Rh 0.000 0.000 0.500
Rh2 Rh 0.250 0.250 0.750